Entry from Alexandria: an optimized crystal structure of Ca3NpNi8 (GGA-PBE).

- Size of the total moment: 2.395 μB per formula unit
- Space group: R3m
- E_form: -3.14 kcal/mol of atoms
- Total energy: -5.569 eV/atom
- Fermi-level density of states: 19.217 states/eV/cell

Cell: 5.0783 5.0783 8.7623 Å, 73.16 73.16 60.00°
With the nearest neighbours (Å) after each atom.
Element x y z (fractional)
Ni 0.4372 0.4372 0.1942  6 Ni 2.49-2.58
Ni 0.4450 0.9372 0.6807  6 Ni 2.50-2.58
Ni 0.9372 0.4450 0.6807  6 Ni 2.50-2.58
Ni 0.1876 0.1876 0.4371  6 Ni 2.49-2.50
Ni 0.4372 0.9314 0.1942  6 Ni 2.49-2.58
Ni 0.6879 0.6879 0.9362  6 Ni 2.56-2.58
Ni 0.9314 0.4372 0.1942  6 Ni 2.49-2.58
Ni 0.9372 0.9372 0.6807  6 Ni 2.50-2.58
Ca 0.4975 0.4975 0.5075  12 Ni 2.91-2.99, 1 Ca 3.07, 3 Np 3.13
Ca 0.3737 0.3737 0.8788  12 Ni 2.97-3.02, 4 Ca 3.07-3.08
Ca 0.0025 0.0025 0.9924  12 Ni 2.97-3.04, 3 Ca 3.08, 1 Np 3.14
Np 0.8756 0.8756 0.3731  12 Ni 2.92-2.98, 4 Ca 3.13-3.14